Record 1
{"formula": "Mn2Be", "functional": "GGA-PBEsol", "state": "optimized geometry", "e_tot_ev_per_atom": -7.90, "formation_energy_ev_per_fu": -0.18, "volume_a3_per_cell": 56, "magmom_total_mub_per_cell": 0.01, "crystal_system": "monoclinic", "lattice": [[4.274, -1.333, 0.000], [4.274, 1.333, 0.000], [-1.604, 0.000, 4.940]], "species": ["Mn", "Mn", "Mn", "Mn", "Be", "Be"], "frac_coords": [[0.004, 0.004, 0.219], [0.346, 0.346, 0.427], [0.654, 0.654, 0.573], [0.996, 0.996, 0.781], [0.311, 0.311, 0.906], [0.689, 0.689, 0.094]]}


Record 2
{"formula": "AsIrAu2", "functional": "GGA-PBEsol", "state": "optimized geometry", "e_tot_ev_per_atom": -5.30, "formation_energy_ev_per_fu": 1.58, "volume_a3_per_cell": 65, "magmom_total_mub_per_cell": 0.00, "crystal_system": "orthorhombic", "lattice": [[2.817, 0.000, 0.000], [0.000, 4.079, 0.000], [0.000, 0.000, 5.696]], "species": ["As", "Ir", "Au", "Au"], "frac_coords": [[0.000, 0.000, 0.000], [0.000, 0.000, 0.500], [0.500, 0.500, 0.255], [0.500, 0.500, 0.745]]}


Record 3
{"formula": "BeAu3", "functional": "GGA-PBEsol", "state": "optimized geometry", "e_tot_ev_per_atom": -4.08, "formation_energy_ev_per_fu": -0.55, "volume_a3_per_cell": 59, "magmom_total_mub_per_cell": 0.00, "crystal_system": "tetragonal", "lattice": [[2.900, 0.000, 0.000], [0.000, 2.900, 0.000], [0.000, 0.000, 6.997]], "species": ["Be", "Au", "Au", "Au"], "frac_coords": [[0.000, 0.000, 0.000], [0.000, 0.000, 0.500], [0.500, 0.500, 0.203], [0.500, 0.500, 0.797]]}